Record 1
AlSi2P SCAN PBEsol geometry; energy = -9.359 eV per atom; formation energy from raw total energies = 0.186 eV per atom; space group = No. 160; total magnetic moment = 0.0 μB per cell
1.0
1.7126 0.9887 6.2963
-1.7126 0.9887 6.2963
0.0000 -1.9775 6.2963
Al Si P
1 2 1
Direct
0.0000 0.0000 0.0000 Al
0.2411 0.2411 0.2411 Si
0.4920 0.4920 0.4920 Si
0.7513 0.7513 0.7513 P

---

Record 2
AlSiP SCAN PBEsol geometry; energy = -8.820 eV per atom; formation energy from raw total energies = 0.569 eV per atom; space group = No. 187; total magnetic moment = 0.0 μB per cell
1.0
4.3458 0.0000 0.0000
-2.1729 3.7636 0.0000
0.0000 0.0000 2.8032
Al Si P
1 1 1
Direct
0.0000 0.0000 0.0000 Al
0.6667 0.3333 0.0000 Si
0.3333 0.6667 0.5000 P

---

Record 3
Al2SiP SCAN PBEsol geometry; energy = -8.736 eV per atom; formation energy from raw total energies = 0.244 eV per atom; space group = No. 123; total magnetic moment = 0.0 μB per cell
1.0
4.1847 0.0000 0.0000
0.0000 4.1847 0.0000
0.0000 0.0000 3.4382
Al Si P
2 1 1
Direct
0.0000 0.5000 0.0000 Al
0.5000 0.0000 0.0000 Al
0.0000 0.0000 0.5000 Si
0.5000 0.5000 0.5000 P

---

Record 4
SrAl2P SCAN PBEsol geometry; energy = -11.979 eV per atom; space group = No. 216; total magnetic moment = 0.0 μB per cell
1.0
0.0000 3.4856 3.4856
3.4856 0.0000 3.4856
3.4856 3.4856 0.0000
Sr Al P
1 2 1
Direct
0.0000 0.0000 0.0000 Sr
0.5000 0.5000 0.5000 Al
0.7500 0.7500 0.7500 Al
0.2500 0.2500 0.2500 P

---

Record 5
SrAlP2 SCAN PBEsol geometry; energy = -12.892 eV per atom; space group = No. 123; total magnetic moment = 0.0 μB per cell
1.0
4.5274 0.0000 0.0000
0.0000 4.5274 0.0000
0.0000 0.0000 3.8057
Sr Al P
1 1 2
Direct
0.0000 0.0000 0.0000 Sr
0.5000 0.5000 0.0000 Al
0.0000 0.5000 0.5000 P
0.5000 0.0000 0.5000 P

---

Record 6
SrAlP4 SCAN PBEsol geometry; energy = -11.842 eV per atom; space group = No. 216; total magnetic moment = 0.0 μB per cell
1.0
0.0000 3.8175 3.8175
3.8175 0.0000 3.8175
3.8175 3.8175 0.0000
Sr Al P
1 1 4
Direct
0.0000 0.0000 0.0000 Sr
0.2500 0.2500 0.2500 Al
0.1658 0.6114 0.6114 P
0.6114 0.1658 0.6114 P
0.6114 0.6114 0.1658 P
0.6114 0.6114 0.6114 P